Entry 1:
## Pr2Tl2IrO6 (PBE)

Data for a relaxed structure of Pr2Tl2IrO6.

CIF file:
```
data_Pr2Tl2IrO6
_chemical_formula_sum 'Pr4 Tl4 Ir2 O12'
_space_group_name_H-M_alt 'C 1 2/m 1'
_space_group_IT_number 12
_cell_length_a 6.0290
_cell_length_b 10.4911
_cell_length_c 6.7350
_cell_angle_alpha 90.00
_cell_angle_beta 103.77
_cell_angle_gamma 90.00
loop_
_space_group_symop_operation_xyz
'x,y,z'
'-x,-y,-z'
'-x,y,-z'
'x,-y,z'
'x+1/2,y+1/2,z'
'-x+1/2,-y+1/2,-z'
'-x+1/2,y+1/2,-z'
'x+1/2,-y+1/2,z'
loop_
_atom_site_label
_atom_site_fract_x
_atom_site_fract_y
_atom_site_fract_z
_atom_site_occupancy
Pr1 0.0000 0.1637 0.0000 1
Tl1 0.0000 0.3424 0.5000 1
Ir1 0.0000 0.5000 0.0000 1
O1 0.1878 0.3504 0.1625 1
O2 0.2343 0.5000 0.8172 1
```

The density of states at the Fermi level comes out at 14.31 states/eV/cell. The total energy comes out at -6.5012 eV per atom. As for the crystal system: monoclinic. The value obtained for the size of the total moment is 2.09 μB per cell. The formation energy from raw total energies is -1.69 eV/atom.

***

Entry 2:
## PrTlIrO6 (PBE)

Data for a relaxed structure of PrTlIrO6.

CIF file:
```
data_PrTlIrO6
_chemical_formula_sum 'Pr2 Tl2 Ir2 O12'
_space_group_name_H-M_alt 'P -3 1 c'
_space_group_IT_number 163
_space_group_name_Hall '-P 3 2c'
_cell_length_a 5.8009
_cell_length_b 5.8009
_cell_length_c 8.8592
_cell_angle_alpha 90.00
_cell_angle_beta 90.00
_cell_angle_gamma 120.00
loop_
_atom_site_label
_atom_site_fract_x
_atom_site_fract_y
_atom_site_fract_z
_atom_site_occupancy
Pr1 0.3333 0.6667 0.2500 1
Tl1 0.0000 0.0000 0.0000 1
Ir1 0.3333 0.6667 0.7500 1
O1 0.0543 0.3897 0.6263 1
```

The density of states at the Fermi level comes out at 10.18 states/eV/cell. The total energy comes out at -6.3548 eV per atom. As for the crystal system: trigonal. The value obtained for the size of the total moment is 3.11 μB per cell. The formation energy from raw total energies is -1.27 eV/atom.

***

Entry 3:
## PrY2IrO8 (PBE)

Data for a relaxed structure of PrY2IrO8.

CIF file:
```
data_PrY2IrO8
_chemical_formula_sum 'Pr2 Y4 Ir2 O16'
_space_group_name_H-M_alt 'C m m m'
_space_group_IT_number 65
_space_group_name_Hall '-C 2 2'
_cell_length_a 7.1803
_cell_length_b 7.2213
_cell_length_c 6.9261
_cell_angle_alpha 90.00
_cell_angle_beta 90.00
_cell_angle_gamma 90.00
loop_
_atom_site_label
_atom_site_fract_x
_atom_site_fract_y
_atom_site_fract_z
_atom_site_occupancy
Pr1 0.0000 0.0000 0.0000 1
Y1 0.0000 0.5000 0.2499 1
Ir1 0.0000 0.0000 0.5000 1
O1 0.0000 0.2662 0.5000 1
O2 0.0000 0.3166 0.0000 1
O3 0.1860 0.0000 0.2979 1
```

The density of states at the Fermi level comes out at 10.27 states/eV/cell. The total energy comes out at -7.8125 eV per atom. As for the crystal system: orthorhombic. The value obtained for the size of the total moment is 3.71 μB per cell. The formation energy from raw total energies is -2.29 eV/atom.

***

Entry 4:
## Pr2ZnIrO6 (PBE)

Data for a relaxed structure of Pr2ZnIrO6.

CIF file:
```
data_Pr2ZnIrO6
_chemical_formula_sum 'Pr4 Zn2 Ir2 O12'
_space_group_name_H-M_alt 'P 1 21/c 1'
_space_group_IT_number 14
_cell_length_a 5.5199
_cell_length_b 5.8826
_cell_length_c 9.6049
_cell_angle_alpha 90.00
_cell_angle_beta 124.86
_cell_angle_gamma 90.00
loop_
_space_group_symop_operation_xyz
'x,y,z'
'-x,-y,-z'
'-x,y+1/2,-z+1/2'
'x,-y+1/2,z+1/2'
loop_
_atom_site_label
_atom_site_fract_x
_atom_site_fract_y
_atom_site_fract_z
_atom_site_occupancy
Pr1 0.2304 0.0693 0.2506 1
Zn1 0.5000 0.0000 0.0000 1
Ir1 0.0000 0.0000 0.5000 1
O1 0.1321 0.2055 0.9470 1
O2 0.2509 0.6952 0.9491 1
O3 0.3485 0.0307 0.7464 1
```

The density of states at the Fermi level comes out at 13.69 states/eV/cell. The total energy comes out at -7.1027 eV per atom. As for the crystal system: monoclinic. The value obtained for the size of the total moment is 2.00 μB per cell. The formation energy from raw total energies is -2.16 eV/atom.

***

Entry 5:
## Ir2PtO8 (PBE)

Data for a relaxed structure of Ir2PtO8.

CIF file:
```
data_Ir2PtO8
_chemical_formula_sum 'Ir2 Pt1 O8'
_space_group_name_H-M_alt 'P -3 m 1'
_space_group_IT_number 164
_space_group_name_Hall '-P 3 2"'
_cell_length_a 5.7118
_cell_length_b 5.7118
_cell_length_c 7.0446
_cell_angle_alpha 90.00
_cell_angle_beta 90.00
_cell_angle_gamma 120.00
loop_
_atom_site_label
_atom_site_fract_x
_atom_site_fract_y
_atom_site_fract_z
_atom_site_occupancy
Ir1 0.3333 0.6667 0.2820 1
Pt1 0.0000 0.0000 0.0000 1
O1 0.1606 0.3212 0.1926 1
O2 0.3333 0.6667 0.5313 1
```

The density of states at the Fermi level comes out at 8.13 states/eV/cell. The total energy comes out at -5.9213 eV per atom. As for the crystal system: trigonal. The value obtained for the size of the total moment is 1.78 μB per cell. The formation energy from raw total energies is -0.16 eV/atom.

***

Entry 6:
## IrPtO3 (PBE)

Data for a relaxed structure of IrPtO3.

CIF file:
```
data_IrPtO3
_chemical_formula_sum 'Ir1 Pt1 O3'
_space_group_name_H-M_alt 'P m -3 m'
_space_group_IT_number 221
_space_group_name_Hall '-P 4 2 3'
_cell_length_a 3.9514
_cell_length_b 3.9514
_cell_length_c 3.9514
_cell_angle_alpha 90.00
_cell_angle_beta 90.00
_cell_angle_gamma 90.00
loop_
_atom_site_label
_atom_site_fract_x
_atom_site_fract_y
_atom_site_fract_z
_atom_site_occupancy
Ir1 0.0000 0.0000 0.0000 1
Pt1 0.5000 0.5000 0.5000 1
O1 0.0000 0.5000 0.5000 1
```

The density of states at the Fermi level comes out at 4.54 states/eV/cell. The total energy comes out at -5.0409 eV per atom. As for the crystal system: cubic. The value obtained for the size of the total moment is 3.58 μB per cell. The formation energy from raw total energies is 0.91 eV/atom.

***

Entry 7:
## IrPt3O (PBE)

Data for a relaxed structure of IrPt3O.

CIF file:
```
data_IrPt3O
_chemical_formula_sum 'Ir1 Pt3 O1'
_space_group_name_H-M_alt 'P m -3 m'
_space_group_IT_number 221
_space_group_name_Hall '-P 4 2 3'
_cell_length_a 4.2081
_cell_length_b 4.2081
_cell_length_c 4.2081
_cell_angle_alpha 90.00
_cell_angle_beta 90.00
_cell_angle_gamma 90.00
loop_
_atom_site_label
_atom_site_fract_x
_atom_site_fract_y
_atom_site_fract_z
_atom_site_occupancy
Ir1 0.0000 0.0000 0.0000 1
Pt1 0.0000 0.5000 0.5000 1
O1 0.5000 0.5000 0.5000 1
```

The density of states at the Fermi level comes out at 6.78 states/eV/cell. The total energy comes out at -5.6021 eV per atom. As for the crystal system: cubic. The value obtained for the size of the total moment is 0.00 μB per cell. The formation energy from raw total energies is 0.79 eV/atom. The excess energy over the best structure of this formula in the dataset comes out at 0.000 eV per atom.

***

Entry 8:
## IrPt2O (PBE)

Data for a relaxed structure of IrPt2O.

CIF file:
```
data_IrPt2O
_chemical_formula_sum 'Ir4 Pt8 O4'
_space_group_name_H-M_alt 'I -4 2 d'
_space_group_IT_number 122
_space_group_name_Hall 'I -4 2bw'
_cell_length_a 6.5943
_cell_length_b 6.5943
_cell_length_c 5.2165
_cell_angle_alpha 90.00
_cell_angle_beta 90.00
_cell_angle_gamma 90.00
loop_
_atom_site_label
_atom_site_fract_x
_atom_site_fract_y
_atom_site_fract_z
_atom_site_occupancy
Ir1 0.0000 0.0000 0.0000 1
Pt1 0.2069 0.2500 0.6250 1
O1 0.0000 0.0000 0.5000 1
```

The density of states at the Fermi level comes out at 25.17 states/eV/cell. The total energy comes out at -5.9300 eV per atom. As for the crystal system: tetragonal. The value obtained for the size of the total moment is 0.00 μB per cell. The formation energy from raw total energies is 0.55 eV/atom.

***

Entry 9:
## IrPt3O (PBE)

Data for a relaxed structure of IrPt3O.

CIF file:
```
data_IrPt3O
_chemical_formula_sum 'Ir1 Pt3 O1'
_space_group_name_H-M_alt 'P m -3 m'
_space_group_IT_number 221
_space_group_name_Hall '-P 4 2 3'
_cell_length_a 4.8182
_cell_length_b 4.8182
_cell_length_c 4.8182
_cell_angle_alpha 90.00
_cell_angle_beta 90.00
_cell_angle_gamma 90.00
loop_
_atom_site_label
_atom_site_fract_x
_atom_site_fract_y
_atom_site_fract_z
_atom_site_occupancy
Ir1 0.0000 0.0000 0.0000 1
Pt1 0.0000 0.0000 0.5000 1
O1 0.5000 0.5000 0.5000 1
```

The density of states at the Fermi level comes out at 11.33 states/eV/cell. The total energy comes out at -4.4653 eV per atom. As for the crystal system: cubic. The value obtained for the size of the total moment is 0.00 μB per cell. The formation energy from raw total energies is 1.92 eV/atom. The excess energy over the best structure of this formula in the dataset comes out at 1.137 eV per atom.

***

Entry 10:
## IrPt3O8 (PBE)

Data for a relaxed structure of IrPt3O8.

CIF file:
```
data_IrPt3O8
_chemical_formula_sum 'Ir2 Pt6 O16'
_space_group_name_H-M_alt 'P 63 m c'
_space_group_IT_number 186
_space_group_name_Hall 'P 6c -2c'
_cell_length_a 6.1817
_cell_length_b 6.1817
_cell_length_c 9.0647
_cell_angle_alpha 90.00
_cell_angle_beta 90.00
_cell_angle_gamma 120.00
loop_
_atom_site_label
_atom_site_fract_x
_atom_site_fract_y
_atom_site_fract_z
_atom_site_occupancy
Ir1 0.3333 0.6667 0.0000 1
Pt1 0.1673 0.3347 0.7151 1
O1 0.0000 0.0000 0.3236 1
O2 0.0477 0.5238 0.8475 1
O3 0.1631 0.3262 0.0988 1
O4 0.3333 0.6667 0.6062 1
```

The density of states at the Fermi level comes out at 10.05 states/eV/cell. The total energy comes out at -6.0088 eV per atom. As for the crystal system: hexagonal. The value obtained for the size of the total moment is 0.00 μB per cell. The formation energy from raw total energies is -0.45 eV/atom.

***

Entry 11:
## IrPtO (PBE)

Data for a relaxed structure of IrPtO.

CIF file:
```
data_IrPtO
_chemical_formula_sum 'Ir2 Pt2 O2'
_space_group_name_H-M_alt 'P m m n'
_space_group_IT_number 59
_cell_length_a 2.7591
_cell_length_b 4.5457
_cell_length_c 6.6264
_cell_angle_alpha 90.00
_cell_angle_beta 90.00
_cell_angle_gamma 90.00
loop_
_space_group_symop_operation_xyz
'x,y,z'
'-x,-y,-z'
'-x+1/2,-y+1/2,z'
'x+1/2,y+1/2,-z'
'x+1/2,-y,-z'
'-x+1/2,y,z'
'-x,y+1/2,-z'
'x,-y+1/2,z'
loop_
_atom_site_label
_atom_site_fract_x
_atom_site_fract_y
_atom_site_fract_z
_atom_site_occupancy
Ir1 0.2500 0.2500 0.2076 1
Pt1 0.2500 0.7500 0.4337 1
O1 0.2500 0.7500 0.0030 1
```

The density of states at the Fermi level comes out at 5.61 states/eV/cell. The total energy comes out at -6.5441 eV per atom. As for the crystal system: orthorhombic. The value obtained for the size of the total moment is 0.00 μB per cell. The formation energy from raw total energies is 0.08 eV/atom.

***

Entry 12:
## Ir3PtO (PBE)

Data for a relaxed structure of Ir3PtO.

CIF file:
```
data_Ir3PtO
_chemical_formula_sum 'Ir3 Pt1 O1'
_space_group_name_H-M_alt 'P m -3 m'
_space_group_IT_number 221
_space_group_name_Hall '-P 4 2 3'
_cell_length_a 4.8222
_cell_length_b 4.8222
_cell_length_c 4.8222
_cell_angle_alpha 90.00
_cell_angle_beta 90.00
_cell_angle_gamma 90.00
loop_
_atom_site_label
_atom_site_fract_x
_atom_site_fract_y
_atom_site_fract_z
_atom_site_occupancy
Ir1 0.0000 0.0000 0.5000 1
Pt1 0.0000 0.0000 0.0000 1
O1 0.5000 0.5000 0.5000 1
```

The density of states at the Fermi level comes out at 14.83 states/eV/cell. The total energy comes out at -4.8074 eV per atom. As for the crystal system: cubic. The value obtained for the size of the total moment is 3.69 μB per cell. The formation energy from raw total energies is 2.71 eV/atom. The excess energy over the best structure of this formula in the dataset comes out at 1.878 eV per atom.

***

What did the third record say?
## PrY2IrO8 (PBE)

Data for a relaxed structure of PrY2IrO8.

CIF file:
```
data_PrY2IrO8
_chemical_formula_sum 'Pr2 Y4 Ir2 O16'
_space_group_name_H-M_alt 'C m m m'
_space_group_IT_number 65
_space_group_name_Hall '-C 2 2'
_cell_length_a 7.1803
_cell_length_b 7.2213
_cell_length_c 6.9261
_cell_angle_alpha 90.00
_cell_angle_beta 90.00
_cell_angle_gamma 90.00
loop_
_atom_site_label
_atom_site_fract_x
_atom_site_fract_y
_atom_site_fract_z
_atom_site_occupancy
Pr1 0.0000 0.0000 0.0000 1
Y1 0.0000 0.5000 0.2499 1
Ir1 0.0000 0.0000 0.5000 1
O1 0.0000 0.2662 0.5000 1
O2 0.0000 0.3166 0.0000 1
O3 0.1860 0.0000 0.2979 1
```

The density of states at the Fermi level comes out at 10.27 states/eV/cell. The total energy comes out at -7.8125 eV per atom. As for the crystal system: orthorhombic. The value obtained for the size of the total moment is 3.71 μB per cell. The formation energy from raw total energies is -2.29 eV/atom.

***

Q: What is the total energy in the eleventh record?
A: -6.5441 eV per atom

***

Q: Which value of formation energy from raw total energies does entry 4 give?
A: -2.16 eV/atom

***

Q: The lowest total energy belongs to which entry?
A: PrY2IrO8